Entry i
First-principles (PBE) data for a relaxed SbTe2HSe crystal, as listed in Alexandria.

Geometry as CIF:
```
data_SbTe2HSe
_chemical_formula_sum 'Sb1 Te2 H1 Se1'
_cell_length_a 5.572
_cell_length_b 5.572
_cell_length_c 5.505
_cell_angle_alpha 90.00
_cell_angle_beta 90.00
_cell_angle_gamma 90.00
_symmetry_space_group_name_H-M 'P 4/m m m'
_symmetry_Int_Tables_number 123
_symmetry_space_group_name_Hall '-P 4 2'
loop_
_atom_site_label
_atom_site_fract_x
_atom_site_fract_y
_atom_site_fract_z
Sb1 0.000 0.000 0.000
Te1 0.000 0.500 0.500
H1 0.500 0.500 0.000
Se1 0.000 0.000 0.500
```

=====

Entry ii
First-principles (PBE) data for a relaxed SbTe2HSe crystal, as listed in Alexandria.

Geometry as CIF:
```
data_SbTe2HSe
_chemical_formula_sum 'Sb1 Te2 H1 Se1'
_cell_length_a 4.253
_cell_length_b 4.253
_cell_length_c 7.615
_cell_angle_alpha 90.00
_cell_angle_beta 90.00
_cell_angle_gamma 90.00
_symmetry_space_group_name_H-M 'P 4/m m m'
_symmetry_Int_Tables_number 123
_symmetry_space_group_name_Hall '-P 4 2'
loop_
_atom_site_label
_atom_site_fract_x
_atom_site_fract_y
_atom_site_fract_z
Sb1 0.000 0.000 0.000
Te1 0.000 0.500 0.500
H1 0.000 0.000 0.500
Se1 0.500 0.500 0.000
```

=====

Preferred: entry ii; penalty for the next structure: 536 meV per atom.